Density functional theory data (GGA-PBE) for a relaxed ThGaGe crystal.

ΔE_f ... -1.66 eV per formula unit
Space group ... P3m1

abc: 4.2079 4.3149 4.3149
angles: 120.00 90.00 90.00
Closest atoms and distances in Å follow each position.
Positions (direct):
Ge 0.2071 0.3333 0.6667  3 Ga 2.52
Ga 0.1242 0.0000 0.0000  3 Ge 2.52
Th 0.6688 0.6667 0.3333  6 Ga 3.14-3.38, 6 Ge 3.16-3.37

=====

Density functional theory data (GGA-PBE) for a relaxed MgSbAs2 crystal.

E_form (uncorrected) ... 0.12 eV/f.u.
Space group ... P4mm

abc: 3.8560 3.8560 6.3784
angles: 90.00 90.00 90.00
Closest atoms and distances in Å follow each position.
Positions (direct):
As 0.0000 0.0000 0.0991  1 Mg 2.65, 4 As 2.83
As 0.5000 0.5000 0.2178  4 As 2.83, 1 Sb 2.88
Mg 0.0000 0.0000 0.5140  1 As 2.65, 4 Sb 2.90
Sb 0.5000 0.5000 0.6692  1 As 2.88, 4 Mg 2.90

=====

Density functional theory data (GGA-PBE) for a relaxed Er7Tm2Tl2 crystal.

ΔE_f ... -0.20 eV per formula unit
Space group ... Imm2

abc: 3.6108 11.0328 11.0328
angles: 51.41 80.58 80.58
Closest atoms and distances in Å follow each position.
Positions (direct):
Er 0.8416 0.0498 0.2670  3 Tl 3.17-3.37, 1 Tm 3.49, 2 Er 3.51
Er 0.8671 0.3971 0.8687  2 Tl 3.19, 2 Tm 3.42, 2 Er 3.54
Er 0.5000 0.0491 0.9509  3 Tm 3.35-3.60, 2 Er 3.61
Er 0.6320 0.4502 0.2858  2 Tl 3.06, 1 Tm 3.12
Er 0.3680 0.7142 0.5498  2 Tl 3.06, 1 Tm 3.12
Er 0.1584 0.7330 0.9502  3 Tl 3.17-3.37, 1 Tm 3.49, 2 Er 3.51
Er 0.1329 0.1313 0.6029  2 Tl 3.19, 2 Tm 3.42, 2 Er 3.54
Tm 0.0000 0.7234 0.2766  8 Er 3.43-3.60, 4 Tm 3.59-3.61
Tm 0.5000 0.3987 0.6013  7 Er 3.12-3.42
Tl 0.7423 0.8612 0.6542  7 Er 3.06-3.37
Tl 0.2577 0.3458 0.1388  7 Er 3.06-3.37